First-principles (meta-GGA SCAN) data for a PBEsol-optimized structure of BaHg2Au, as listed in Alexandria.

Results
The total energy is -61.710 eV per atom. Its space-group type is Fm-3m.

Unit cell a=5.2886 b=5.2886 c=5.2886 alpha=60.00 beta=60.00 gamma=60.00
Closest atoms and distances in Å follow each position.
Fractional positions:
Au 0.5000 0.5000 0.5000  8 Hg 3.24
Hg 0.2500 0.2500 0.2500  4 Ba 3.24, 4 Au 3.24
Hg 0.7500 0.7500 0.7500  4 Au 3.24, 4 Ba 3.24
Ba 0.0000 0.0000 0.0000  8 Hg 3.24